This record from Alexandria describes a geometry-optimized Nb2CdH structure. The functional is PBE-GGA.

DFT total energy, eV per cell: -20.9
Symmetry: No. 225
Density of states at the Fermi level, states/eV/cell: 4.8

a b c (Å): 4.5207 4.5207 4.5207
angles (deg): 60.00 60.00 60.00
Sites, in units of the cell vectors:
Nb 0.7500 0.7500 0.7500
Nb 0.2500 0.2500 0.2500
H 0.0000 0.0000 0.0000
Cd 0.5000 0.5000 0.5000